1.
Entry from Alexandria via LeMat-Bulk: TlAg2Pb2 after structural relaxation (PBE).

## Properties
E above lowest polymorph = 0.18 eV per formula unit
Total magnetization = 0.00 μB/cell

```
TlAg2Pb2
1.0
3.9278 0.0000 0.0000
0.0000 3.9278 0.0000
0.0000 0.0000 17.5910
Tl Ag Pb
2 4 4
Cartesian
0.0000 0.0000 0.0000
1.9639 1.9639 8.7955
0.0000 1.9639 4.3978
0.0000 1.9639 13.1933
1.9639 0.0000 4.3978
1.9639 0.0000 13.1933
0.0000 0.0000 6.7909
0.0000 0.0000 10.8001
1.9639 1.9639 2.0046
1.9639 1.9639 15.5865
```

---

2.
Entry from Alexandria via LeMat-Bulk: TmTlAgPb after structural relaxation (PBE).

## Properties
Total magnetization = 0.00 μB/cell

```
TmTlAgPb
1.0
7.3855 0.0000 0.0000
0.0000 7.3855 0.0000
0.0000 0.0000 7.3855
Tm Tl Ag Pb
4 4 4 4
Cartesian
0.0000 0.0000 0.0000
0.0000 3.6928 3.6928
3.6928 0.0000 3.6928
3.6928 3.6928 0.0000
1.8464 1.8464 5.5392
1.8464 5.5392 1.8464
5.5392 1.8464 1.8464
5.5392 5.5392 5.5392
0.0000 0.0000 3.6928
0.0000 3.6928 0.0000
3.6928 0.0000 0.0000
3.6928 3.6928 3.6928
1.8464 1.8464 1.8464
1.8464 5.5392 5.5392
5.5392 1.8464 5.5392
5.5392 5.5392 1.8464
```

---

3.
Entry from Alexandria via LeMat-Bulk: YTlAgPb after structural relaxation (PBE).

## Properties
E above lowest polymorph = 0.00 eV per formula unit
Total magnetization = 0.00 μB/cell

```
YTlAgPb
1.0
4.4767 0.0000 0.0000
0.0000 4.6326 0.0000
0.0000 0.0000 4.8485
Y Tl Ag Pb
1 1 1 1
Cartesian
0.0000 0.0000 0.0000
2.2384 0.0000 2.4243
0.0000 2.3163 2.4243
2.2384 2.3163 0.0000
```

---

4.
Entry from Alexandria via LeMat-Bulk: YTlAgPb after structural relaxation (PBE).

## Properties
E above lowest polymorph = 0.52 eV per formula unit
Total magnetization = 0.00 μB/cell

```
YTlAgPb
1.0
7.4308 0.0000 0.0000
0.0000 7.4308 0.0000
0.0000 0.0000 7.4308
Y Tl Ag Pb
4 4 4 4
Cartesian
0.0000 0.0000 0.0000
0.0000 3.7154 3.7154
3.7154 0.0000 3.7154
3.7154 3.7154 0.0000
1.8577 1.8577 1.8577
1.8577 5.5731 5.5731
5.5731 1.8577 5.5731
5.5731 5.5731 1.8577
0.0000 0.0000 3.7154
0.0000 3.7154 0.0000
3.7154 0.0000 0.0000
3.7154 3.7154 3.7154
1.8577 1.8577 5.5731
1.8577 5.5731 1.8577
5.5731 1.8577 1.8577
5.5731 5.5731 5.5731
```

---

Number 1: final energy -2.96 eV/atom, ΔH_f (0 K) 0.13 eV/atom. Number 2: final energy -3.44 eV/atom, ΔH_f (0 K) -0.09 eV/atom. Number 3: final energy -4.11 eV/atom, ΔH_f (0 K) -0.26 eV/atom. Number 4: final energy -3.98 eV/atom, ΔH_f (0 K) -0.13 eV/atom.